No. 1
Computed, not measured: an optimized crystal structure of Pa3Tl2Se8 at the PBE-GGA level of DFT.

abc: 8.9231 8.9231 7.2562
angles: 105.91 105.91 56.68
Element x y z (fractional)
Pa 0.0000 0.0000 0.0000
Pa 0.2571 0.7429 0.5000
Pa 0.7429 0.2571 0.5000
Tl 0.2639 0.2639 0.8404
Tl 0.7361 0.7361 0.1596
Se 0.1008 0.1008 0.4025
Se 0.1272 0.6691 0.1102
Se 0.3309 0.8728 0.8898
Se 0.3929 0.3929 0.5515
Se 0.6071 0.6071 0.4485
Se 0.6691 0.1272 0.1102
Se 0.8728 0.3309 0.8898
Se 0.8992 0.8992 0.5975

E	-5.840	eV per atom
space-group type	No. 12
magnetization	1.00	μB per cell


No. 2
Computed, not measured: an optimized crystal structure of SrEr2O4 at the PBE-GGA level of DFT.

abc: 9.9764 3.3744 11.8114
angles: 90.00 90.00 90.00
Element x y z (fractional)
Sr 0.2471 0.2500 0.1498
Sr 0.2529 0.7500 0.6498
Sr 0.7471 0.2500 0.3502
Sr 0.7529 0.7500 0.8502
Er 0.0767 0.2500 0.3884
Er 0.0777 0.2500 0.8897
Er 0.4223 0.7500 0.3897
Er 0.4233 0.7500 0.8884
Er 0.5767 0.2500 0.1116
Er 0.5777 0.2500 0.6103
Er 0.9223 0.7500 0.1103
Er 0.9233 0.7500 0.6116
O 0.0155 0.7500 0.7832
O 0.0741 0.2500 0.5773
O 0.1255 0.7500 0.0197
O 0.2111 0.7500 0.3271
O 0.2889 0.2500 0.8271
O 0.3745 0.2500 0.5197
O 0.4259 0.7500 0.0773
O 0.4845 0.2500 0.2832
O 0.5155 0.7500 0.7168
O 0.5741 0.2500 0.9227
O 0.6255 0.7500 0.4803
O 0.7111 0.7500 0.1729
O 0.7889 0.2500 0.6729
O 0.8745 0.2500 0.9803
O 0.9259 0.7500 0.4227
O 0.9845 0.2500 0.2168

E	-7.755	eV per atom
space-group type	No. 62
magnetization	0.00	μB per cell


No. 3
Computed, not measured: an optimized crystal structure of La2TmMg3Ir2Pt at the PBE-GGA level of DFT.

abc: 4.1090 7.4651 7.4651
angles: 120.33 90.00 90.00
Element x y z (fractional)
La 0.0000 0.2101 0.7899
La 0.0000 0.7899 0.2101
Tm 0.0000 0.6222 0.6222
Mg 0.5000 0.2175 0.4544
Mg 0.5000 0.4544 0.2175
Mg 0.5000 0.9640 0.9640
Ir 0.5000 0.5506 0.8702
Ir 0.5000 0.8702 0.5506
Pt 0.0000 0.2216 0.2216

E	-5.506	eV per atom
space-group type	No. 38
magnetization	0.00	μB per cell


No. 4
Computed, not measured: an optimized crystal structure of Sm6SnTe5 at the PBE-GGA level of DFT.

abc: 7.7026 7.7026 7.7385
angles: 99.54 99.54 119.95
Element x y z (fractional)
Sm 0.0807 0.4059 0.7438
Sm 0.2426 0.2426 0.2552
Sm 0.4059 0.0807 0.7438
Sm 0.5941 0.9193 0.2562
Sm 0.7574 0.7574 0.7448
Sm 0.9193 0.5941 0.2562
Sn 0.0000 0.0000 0.5000
Te 0.1693 0.8307 0.0000
Te 0.3338 0.6662 0.5000
Te 0.5000 0.5000 0.0000
Te 0.6662 0.3338 0.5000
Te 0.8307 0.1693 0.0000

E	-5.324	eV per atom
space-group type	No. 12
magnetization	0.02	μB per cell


No. 5
Computed, not measured: an optimized crystal structure of Th2Fe at the PBE-GGA level of DFT.

abc: 7.9143 7.9143 7.9143
angles: 60.00 60.00 60.00
Element x y z (fractional)
Th 0.0000 0.0000 0.0000
Th 0.0000 0.0000 0.5000
Th 0.0000 0.5000 0.0000
Th 0.5000 0.0000 0.0000
Fe 0.1250 0.1250 0.1250
Fe 0.8750 0.8750 0.8750

space-group type	No. 227
magnetization	0.05	μB per cell
E_form	3.180	eV per formula unit


No. 6
Computed, not measured: an optimized crystal structure of CuF2 at the PBE-GGA level of DFT.

abc: 4.9709 4.9709 4.9486
angles: 90.00 90.00 90.00
Element x y z (fractional)
Cu 0.2500 0.2500 0.0000
Cu 0.2500 0.7500 0.5000
Cu 0.7500 0.2500 0.5000
Cu 0.7500 0.7500 0.0000
F 0.0482 0.5482 0.2381
F 0.0482 0.9518 0.7619
F 0.4518 0.5482 0.7619
F 0.4518 0.9518 0.2381
F 0.5482 0.0482 0.7619
F 0.5482 0.4518 0.2381
F 0.9518 0.0482 0.2381
F 0.9518 0.4518 0.7619

E	-3.725	eV per atom
space-group type	No. 125


No. 7
Computed, not measured: an optimized crystal structure of Al14Co at the PBE-GGA level of DFT.

abc: 9.6763 9.6763 5.1096
angles: 90.00 90.00 90.00
Element x y z (fractional)
Al 0.0465 0.3685 0.0000
Al 0.0669 0.2568 0.5000
Al 0.0958 0.0958 0.0000
Al 0.1315 0.5465 0.5000
Al 0.1726 0.8274 0.2490
Al 0.1726 0.8274 0.7510
Al 0.2432 0.5669 0.0000
Al 0.2568 0.0669 0.5000
Al 0.3274 0.3274 0.2510
Al 0.3274 0.3274 0.7490
Al 0.3685 0.0465 0.0000
Al 0.4042 0.5958 0.5000
Al 0.4331 0.7568 0.0000
Al 0.4535 0.8685 0.5000
Al 0.5465 0.1315 0.5000
Al 0.5669 0.2432 0.0000
Al 0.5958 0.4042 0.5000
Al 0.6315 0.9535 0.0000
Al 0.6726 0.6726 0.2510
Al 0.6726 0.6726 0.7490
Al 0.7432 0.9331 0.5000
Al 0.7568 0.4331 0.0000
Al 0.8274 0.1726 0.2490
Al 0.8274 0.1726 0.7510
Al 0.8685 0.4535 0.5000
Al 0.9042 0.9042 0.0000
Al 0.9331 0.7432 0.5000
Al 0.9535 0.6315 0.0000
Co 0.0000 0.0000 0.5000
Co 0.5000 0.5000 0.0000

E	-3.979	eV per atom
space-group type	No. 136
magnetization	0.00	μB per cell


No. 8
Computed, not measured: an optimized crystal structure of BePdSO at the PBE-GGA level of DFT.

abc: 4.9109 5.8448 7.9719
angles: 90.00 90.00 90.00
Element x y z (fractional)
Be 0.0524 0.2485 0.0857
Be 0.4476 0.7515 0.5857
Be 0.5524 0.2515 0.9143
Be 0.9476 0.7485 0.4143
Pd 0.0004 0.4868 0.7479
Pd 0.9996 0.9868 0.7521
Pd 0.5004 0.0132 0.2521
Pd 0.4996 0.5132 0.2479
S 0.1387 0.7649 0.1860
S 0.3613 0.2351 0.6860
S 0.6387 0.7351 0.8140
S 0.8613 0.2649 0.3140
O 0.1281 0.7398 0.5759
O 0.3719 0.2602 0.0759
O 0.6281 0.7602 0.4241
O 0.8719 0.2398 0.9241

E	-5.517	eV per atom
space-group type	No. 19


No. 9
Computed, not measured: an optimized crystal structure of Pm2HoN3 at the PBE-GGA level of DFT.

abc: 3.5376 3.5376 8.6618
angles: 90.00 90.00 120.00
Element x y z (fractional)
Pm 0.3333 0.6667 0.3292
Pm 0.6667 0.3333 0.6708
Ho 0.0000 0.0000 0.0000
N 0.0000 0.0000 0.5000
N 0.3333 0.6667 0.8419
N 0.6667 0.3333 0.1581

E	-8.031	eV per atom
space-group type	No. 164
magnetization	0.00	μB per cell


No. 10
Computed, not measured: an optimized crystal structure of Tm6Lu2S at the PBE-GGA level of DFT.

abc: 8.8567 8.8567 3.6686
angles: 90.00 90.00 120.00
Element x y z (fractional)
Tm 0.0000 0.2470 0.0000
Tm 0.0000 0.6019 0.5000
Tm 0.2470 0.0000 0.0000
Tm 0.3981 0.3981 0.5000
Tm 0.6019 0.0000 0.5000
Tm 0.7530 0.7530 0.0000
Lu 0.3333 0.6667 0.0000
Lu 0.6667 0.3333 0.0000
S 0.0000 0.0000 0.5000

E	-4.820	eV per atom
space-group type	No. 189
magnetization	0.10	μB per cell


So what do the calculations give for calculated volume? Going down the list: 458.8; 99.4; 197.6; 375.4; 175.3; 30.6; 239.2; 57.2; 93.9; 249.2 Å³/f.u..